Y2TiOs: relaxed, PBE.

As for the formation energy: 142 meV per atom. The value obtained for the energy above the most stable polymorph in this dataset is 0 kJ/mol of formula units. The calculation puts the total energy at -7.87 eV/atom. The value obtained for the density of states at the Fermi level is 7.01 states/eV/f.u.

Cell: 4.960 4.960 4.960 Å, 60.00 60.00 60.00°
Fractional positions:
Os1 0.500 0.500 0.500
Y1 0.250 0.250 0.250
Y2 0.750 0.750 0.750
Ti1 0.000 0.000 0.000